Computed, not measured: a relaxed HoSi2Rh4 crystal at the PBE level of DFT.

The structure in POSCAR format:
```
HoSi2Rh4
1.0
7.646 0.000 0.000
0.000 7.646 0.000
0.000 0.000 3.746
Ho Si Rh
2 4 8
direct
0.000 0.000 0.000
0.500 0.500 0.500
0.229 0.229 0.500
0.271 0.729 0.000
0.729 0.271 0.000
0.771 0.771 0.500
0.072 0.673 0.500
0.173 0.428 0.000
0.327 0.928 0.500
0.428 0.173 0.000
0.572 0.827 0.000
0.673 0.072 0.500
0.827 0.572 0.000
0.928 0.327 0.500
```

Summary:
Raw formation energy = -6.21 eV per formula unit
Energy above the lowest structure with this stoichiometry = 0.035 eV per atom
E = -7.291 eV per atom
DOS(E_F) = 4.82 states/eV/f.u.
Space group = P4_2/mnm